1.
# Fe2AsIr2 | Alexandria via LeMat-Bulk | PBE-GGA | optimized geometry
data_Fe2AsIr2
_space_group_name_H-M_alt 'I 4/m m m'
_space_group_IT_number 139
_space_group_name_Hall '-I 4 2'
_cell_length_a 3.673
_cell_length_b 3.673
_cell_length_c 11.708
_cell_angle_alpha 90.00
_cell_angle_beta 90.00
_cell_angle_gamma 90.00
loop_
_atom_site_label
_atom_site_fract_x
_atom_site_fract_y
_atom_site_fract_z
Fe1 0.000 0.000 0.102
As1 0.000 0.000 0.500
Ir1 0.000 0.500 0.250
# Formation energy from the elements: 2.32 eV/f.u.
# Crystal system: tetragonal
# Theoretical density: 12.00 Mg/m³



2.
# Fe2As8Ir | Alexandria via LeMat-Bulk | PBE-GGA | optimized geometry
data_Fe2As8Ir
_space_group_name_H-M_alt 'P -1'
_space_group_IT_number 2
_cell_length_a 4.427
_cell_length_b 7.149
_cell_length_c 7.214
_cell_angle_alpha 63.58
_cell_angle_beta 89.53
_cell_angle_gamma 86.70
loop_
_space_group_symop_operation_xyz
'x,y,z'
'-x,-y,-z'
loop_
_atom_site_label
_atom_site_fract_x
_atom_site_fract_y
_atom_site_fract_z
Fe1 0.049 0.199 0.200
As1 0.158 0.852 0.447
As2 0.193 0.433 0.850
As3 0.375 0.340 0.349
As4 0.443 0.882 0.919
Ir1 0.000 0.500 0.500
# Formation energy from the elements: 0.77 eV/f.u.
# Crystal system: triclinic
# Theoretical density: 7.35 Mg/m³



3.
# FeAs4Ir | Alexandria via LeMat-Bulk | PBE-GGA | optimized geometry
data_FeAs4Ir
_space_group_name_H-M_alt 'F -4 3 m'
_space_group_IT_number 216
_space_group_name_Hall 'F -4 2 3'
_cell_length_a 7.560
_cell_length_b 7.560
_cell_length_c 7.560
_cell_angle_alpha 90.00
_cell_angle_beta 90.00
_cell_angle_gamma 90.00
loop_
_atom_site_label
_atom_site_fract_x
_atom_site_fract_y
_atom_site_fract_z
Fe1 0.000 0.000 0.000
As1 0.126 0.126 0.374
Ir1 0.250 0.250 0.750
# Formation energy from the elements: 5.66 eV/f.u.
# Crystal system: cubic
# Energy relative to the lowest polymorph listed for this composition: 1.082 eV per atom
# Theoretical density: 8.42 Mg/m³



4.
# FeAs4Ir | Alexandria via LeMat-Bulk | PBE-GGA | optimized geometry
data_FeAs4Ir
_space_group_name_H-M_alt 'P 1 21/c 1'
_space_group_IT_number 14
_cell_length_a 5.882
_cell_length_b 5.999
_cell_length_c 5.981
_cell_angle_alpha 90.00
_cell_angle_beta 93.88
_cell_angle_gamma 90.00
loop_
_space_group_symop_operation_xyz
'x,y,z'
'-x,-y,-z'
'-x,y+1/2,-z+1/2'
'x,-y+1/2,z+1/2'
loop_
_atom_site_label
_atom_site_fract_x
_atom_site_fract_y
_atom_site_fract_z
Fe1 0.000 0.000 0.000
As1 0.110 0.134 0.384
As2 0.377 0.618 0.372
Ir1 0.500 0.000 0.500
# Formation energy from the elements: -0.83 eV/f.u.
# Crystal system: monoclinic
# Energy relative to the lowest polymorph listed for this composition: 0.000 eV per atom
# Theoretical density: 8.64 Mg/m³



5.
# Fe2As2Ir | Alexandria via LeMat-Bulk | PBE-GGA | optimized geometry
data_Fe2As2Ir
_space_group_name_H-M_alt 'P 4/m b m'
_space_group_IT_number 127
_space_group_name_Hall '-P 4 2ab'
_cell_length_a 6.816
_cell_length_b 6.816
_cell_length_c 2.919
_cell_angle_alpha 90.00
_cell_angle_beta 90.00
_cell_angle_gamma 90.00
loop_
_atom_site_label
_atom_site_fract_x
_atom_site_fract_y
_atom_site_fract_z
Fe1 0.139 0.361 0.000
As1 0.158 0.658 0.500
Ir1 0.000 0.000 0.500
# Formation energy from the elements: 0.63 eV/f.u.
# Crystal system: tetragonal
# Energy relative to the lowest polymorph listed for this composition: 0.000 eV per atom
# Theoretical density: 11.11 Mg/m³



6.
# FeAsIr3 | Alexandria via LeMat-Bulk | PBE-GGA | optimized geometry
data_FeAsIr3
_space_group_name_H-M_alt 'P m -3 m'
_space_group_IT_number 221
_space_group_name_Hall '-P 4 2 3'
_cell_length_a 4.529
_cell_length_b 4.529
_cell_length_c 4.529
_cell_angle_alpha 90.00
_cell_angle_beta 90.00
_cell_angle_gamma 90.00
loop_
_atom_site_label
_atom_site_fract_x
_atom_site_fract_y
_atom_site_fract_z
Fe1 0.000 0.000 0.000
As1 0.500 0.500 0.500
Ir1 0.000 0.500 0.500
# Formation energy from the elements: 7.87 eV/f.u.
# Crystal system: cubic
# Energy relative to the lowest polymorph listed for this composition: 0.117 eV per atom
# Theoretical density: 12.64 Mg/m³



7.
# Fe4AsIr | Alexandria via LeMat-Bulk | PBE-GGA | optimized geometry
data_Fe4AsIr
_space_group_name_H-M_alt 'F -4 3 m'
_space_group_IT_number 216
_space_group_name_Hall 'F -4 2 3'
_cell_length_a 6.785
_cell_length_b 6.785
_cell_length_c 6.785
_cell_angle_alpha 90.00
_cell_angle_beta 90.00
_cell_angle_gamma 90.00
loop_
_atom_site_label
_atom_site_fract_x
_atom_site_fract_y
_atom_site_fract_z
Fe1 0.125 0.125 0.125
As1 0.000 0.000 0.500
Ir1 0.250 0.250 0.750
# Formation energy from the elements: 1.45 eV/f.u.
# Crystal system: cubic
# Theoretical density: 10.43 Mg/m³



8.
# FeAsIr3 | Alexandria via LeMat-Bulk | PBE-GGA | optimized geometry
data_FeAsIr3
_space_group_name_H-M_alt 'P m -3 m'
_space_group_IT_number 221
_space_group_name_Hall '-P 4 2 3'
_cell_length_a 4.470
_cell_length_b 4.470
_cell_length_c 4.470
_cell_angle_alpha 90.00
_cell_angle_beta 90.00
_cell_angle_gamma 90.00
loop_
_atom_site_label
_atom_site_fract_x
_atom_site_fract_y
_atom_site_fract_z
Fe1 0.000 0.000 0.000
As1 0.500 0.500 0.500
Ir1 0.000 0.000 0.500
# Formation energy from the elements: 7.29 eV/f.u.
# Crystal system: cubic
# Energy relative to the lowest polymorph listed for this composition: 0.000 eV per atom
# Theoretical density: 13.15 Mg/m³